one) # Zn2CdSi

A relaxed structure of Zn2CdSi (GGA-PBE, Alexandria via LeMat-Bulk).

Properties
Crystal system ... cubic

a = 4.673 Å, b = 4.673 Å, c = 4.673 Å
α = 60.00°, β = 60.00°, γ = 60.00°
Fractional positions:
Zn 0.000 0.000 0.000
Zn 0.250 0.250 0.250
Cd 0.500 0.500 0.500
Si 0.750 0.750 0.750

two) # Zn2CdSi

A relaxed structure of Zn2CdSi (GGA-PBE, Alexandria via LeMat-Bulk).

Properties
Crystal system ... tetragonal

a = 5.031 Å, b = 5.031 Å, c = 5.031 Å
α = 131.77°, β = 131.77°, γ = 70.59°
Fractional positions:
Zn 0.250 0.750 0.500
Zn 0.750 0.250 0.500
Cd 0.000 0.000 0.000
Si 0.500 0.500 0.000

three) # Zn2CdSi

A relaxed structure of Zn2CdSi (GGA-PBE, Alexandria via LeMat-Bulk).

Properties
Crystal system ... orthorhombic

a = 3.009 Å, b = 3.009 Å, c = 7.696 Å
α = 90.00°, β = 90.00°, γ = 90.17°
Fractional positions:
Zn 0.000 0.000 0.221
Zn 0.000 0.000 0.779
Cd 0.500 0.500 0.500
Si 0.500 0.500 0.000

Short version: three) is the most stable of them.

one) # Zn2CdSi

A relaxed structure of Zn2CdSi (GGA-PBE, Alexandria via LeMat-Bulk).

Properties
Crystal system ... tetragonal

a = 2.970 Å, b = 2.970 Å, c = 7.861 Å
α = 90.00°, β = 90.00°, γ = 90.00°
Fractional positions:
Zn 0.000 0.000 0.000
Zn 0.500 0.500 0.225
Cd 0.000 0.000 0.495
Si 0.500 0.500 0.776

two) # Zn2CdSi

A relaxed structure of Zn2CdSi (GGA-PBE, Alexandria via LeMat-Bulk).

Properties
Crystal system ... monoclinic

a = 5.072 Å, b = 5.072 Å, c = 2.777 Å
α = 90.34°, β = 90.34°, γ = 103.43°
Fractional positions:
Zn 0.000 0.500 0.000
Zn 0.500 0.000 0.000
Cd 0.000 0.000 0.500
Si 0.500 0.500 0.500

Short version: two) is the most stable of them.

one) # Zn2CdSi

A relaxed structure of Zn2CdSi (GGA-PBE, Alexandria via LeMat-Bulk).

Properties
Crystal system ... monoclinic

a = 2.839 Å, b = 3.805 Å, c = 6.428 Å
α = 90.00°, β = 90.73°, γ = 90.00°
Fractional positions:
Zn 0.002 0.000 0.285
Zn 0.998 0.000 0.715
Cd 0.500 0.500 0.000
Si 0.500 0.500 0.500

two) # Zn2CdSi

A relaxed structure of Zn2CdSi (GGA-PBE, Alexandria via LeMat-Bulk).

Properties
Crystal system ... orthorhombic

a = 2.627 Å, b = 5.173 Å, c = 5.317 Å
α = 90.00°, β = 90.00°, γ = 90.00°
Fractional positions:
Zn 0.000 0.000 0.000
Zn 0.500 0.000 0.500
Cd 0.000 0.500 0.500
Si 0.500 0.500 0.000

three) # Zn2CdSi

A relaxed structure of Zn2CdSi (GGA-PBE, Alexandria via LeMat-Bulk).

Properties
Crystal system ... cubic

a = 4.656 Å, b = 4.656 Å, c = 4.656 Å
α = 60.00°, β = 60.00°, γ = 60.00°
Fractional positions:
Zn 0.250 0.250 0.250
Zn 0.750 0.750 0.750
Cd 0.000 0.000 0.000
Si 0.500 0.500 0.500

four) # Zn2CdSi

A relaxed structure of Zn2CdSi (GGA-PBE, Alexandria via LeMat-Bulk).

Properties
Crystal system ... monoclinic

a = 2.840 Å, b = 5.182 Å, c = 4.922 Å
α = 90.00°, β = 98.87°, γ = 90.00°
Fractional positions:
Zn 0.000 0.000 0.000
Zn 0.093 0.500 0.304
Cd 0.570 0.000 0.488
Si 0.815 0.500 0.783

Short version: one) is the most stable of them.

one) # Zn2CdSi

A relaxed structure of Zn2CdSi (GGA-PBE, Alexandria via LeMat-Bulk).

Properties
Crystal system ... trigonal

a = 11.217 Å, b = 11.217 Å, c = 11.217 Å
α = 14.02°, β = 14.02°, γ = 14.02°
Fractional positions:
Zn 0.243 0.243 0.243
Zn 0.757 0.757 0.757
Cd 0.000 0.000 0.000
Si 0.500 0.500 0.500

two) # Zn2CdSi

A relaxed structure of Zn2CdSi (GGA-PBE, Alexandria via LeMat-Bulk).

Properties
Crystal system ... orthorhombic

a = 2.995 Å, b = 2.995 Å, c = 9.799 Å
α = 90.00°, β = 90.00°, γ = 125.32°
Fractional positions:
Zn 0.000 0.000 0.000
Zn 0.500 0.500 0.229
Cd 0.500 0.500 0.736
Si 0.000 0.000 0.457

Short version: one) is the most stable of them.

one) # Zn2CdSi

A relaxed structure of Zn2CdSi (GGA-PBE, Alexandria via LeMat-Bulk).

Properties
Crystal system ... orthorhombic

a = 6.597 Å, b = 6.597 Å, c = 6.597 Å
α = 156.21°, β = 139.12°, γ = 47.85°
Fractional positions:
Zn 0.000 0.000 0.000
Zn 0.688 0.188 0.500
Cd 0.274 0.774 0.500
Si 0.496 0.496 0.000

two) # Zn2CdSi

A relaxed structure of Zn2CdSi (GGA-PBE, Alexandria via LeMat-Bulk).

Properties
Crystal system ... tetragonal

a = 3.483 Å, b = 3.483 Å, c = 5.916 Å
α = 90.00°, β = 90.00°, γ = 90.00°
Fractional positions:
Zn 0.000 0.000 0.000
Zn 0.500 0.500 0.244
Cd 0.000 0.000 0.508
Si 0.500 0.500 0.812

Short version: one) is the most stable of them.

one) # Zn2CdSi

A relaxed structure of Zn2CdSi (GGA-PBE, Alexandria via LeMat-Bulk).

Properties
Crystal system ... tetragonal

a = 9.275 Å, b = 9.275 Å, c = 9.275 Å
α = 154.21°, β = 154.21°, γ = 36.80°
Fractional positions:
Zn 0.094 0.625 0.969
Zn 0.375 0.344 0.469
Zn 0.656 0.125 0.031
Zn 0.875 0.906 0.531
Cd 0.250 0.750 0.500
Cd 0.500 0.500 0.000
Si 0.000 0.000 0.000
Si 0.750 0.250 0.500

two) # Zn2CdSi

A relaxed structure of Zn2CdSi (GGA-PBE, Alexandria via LeMat-Bulk).

Properties
Crystal system ... monoclinic

a = 5.250 Å, b = 5.250 Å, c = 5.365 Å
α = 104.34°, β = 104.34°, γ = 29.51°
Fractional positions:
Zn 0.000 0.000 0.000
Zn 0.732 0.732 0.236
Cd 0.246 0.246 0.745
Si 0.476 0.476 0.457

Short version: two) is the most stable of them.